Entry from the Alexandria database: a relaxed Y3HfAg3Se8 crystal (PBE).

Unit cell a=8.141 b=8.141 c=8.163 alpha=119.64 beta=119.64 gamma=60.45
Fractional coordinates of all 15 atoms:
Y (0.000, 0.000, 0.000)
Y (0.000, 0.500, 0.500)
Y (0.500, 0.000, 0.500)
Hf (0.500, 0.500, 0.000)
Ag (0.000, 0.500, 0.000)
Ag (0.500, 0.000, 0.000)
Ag (0.500, 0.500, 0.500)
Se (0.249, 0.249, 0.252)
Se (0.263, 0.736, 0.765)
Se (0.264, 0.264, 0.762)
Se (0.264, 0.737, 0.235)
Se (0.736, 0.263, 0.765)
Se (0.736, 0.736, 0.238)
Se (0.737, 0.264, 0.235)
Se (0.751, 0.751, 0.748)

Computed properties:
The calculation puts the uncorrected formation energy at -1.193 eV per atom. The calculation puts the total energy at -0.20500 Ha/atom.